The following is a DFT calculation (GGA-PBE) of crystalline NaAgCl6 at its relaxed geometry.

Output
Energy relative to the elements, uncorrected   -442 kJ/mol of formula units
Mass density   2.3 g/cm³

Structure (CIF):
```
data_NaAgCl6
_space_group_name_H-M_alt 'P -1'
_space_group_IT_number 2
_space_group_name_Hall '-P 1'
_cell_length_a 4.298
_cell_length_b 6.871
_cell_length_c 8.687
_cell_angle_alpha 97.02
_cell_angle_beta 98.88
_cell_angle_gamma 93.26
loop_
_atom_site_label
_atom_site_fract_x
_atom_site_fract_y
_atom_site_fract_z
Na1 0.000 0.000 0.000
Ag1 0.500 0.500 0.000
Cl1 0.090 0.314 0.821
Cl2 0.411 0.086 0.583
Cl3 0.443 0.764 0.851
```